## MnPtCl2 (PBE-GGA)

Data for crystalline MnPtCl2 at its relaxed geometry.

a b c (Å): 7.7265 7.7265 7.7265
angles (deg): 23.79 23.79 23.79
Element x y z (fractional)
Cl  0.1052  0.1052  0.1052
Mn  0.5000  0.5000  0.5000
Cl  0.8948  0.8948  0.8948
Pt  0.0000  0.0000  0.0000

Values from the calculation:
* raw total energy: -4.52 eV/atom
* formation energy without anion corrections: 0.208 eV per atom

---

## MnPt4Cl (PBE-GGA)

Data for crystalline MnPt4Cl at its relaxed geometry.

a b c (Å): 5.3251 5.3251 5.3251
angles (deg): 60.00 60.00 60.00
Element x y z (fractional)
Pt  0.3746  0.3746  0.8761
Cl  0.7500  0.7500  0.7500
Pt  0.3746  0.8761  0.3746
Pt  0.8761  0.3746  0.3746
Mn  0.0000  0.0000  0.0000
Pt  0.3746  0.3746  0.3746

Values from the calculation:
* raw total energy: -5.60 eV/atom
* formation energy without anion corrections: 0.262 eV per atom

---

## Mn3PtCl (PBE-GGA)

Data for crystalline Mn3PtCl at its relaxed geometry.

a b c (Å): 4.9789 4.9789 4.9789
angles (deg): 90.00 90.00 90.00
Element x y z (fractional)
Pt  0.0000  0.0000  0.0000
Mn  0.0000  0.5000  0.0000
Mn  0.5000  0.0000  0.0000
Cl  0.5000  0.5000  0.5000
Mn  0.0000  0.0000  0.5000

Values from the calculation:
* raw total energy: -6.57 eV/atom
* formation energy without anion corrections: 0.508 eV per atom

---

## MnPtCl2 (PBE-GGA)

Data for crystalline MnPtCl2 at its relaxed geometry.

a b c (Å): 5.3057 5.3057 5.3057
angles (deg): 146.65 112.87 77.06
Element x y z (fractional)
Cl  0.9746  0.9746  0.0000
Pt  0.2500  0.7500  0.5000
Mn  0.7500  0.2500  0.5000
Cl  0.5254  0.5254  0.0000

Values from the calculation:
* raw total energy: -4.64 eV/atom
* formation energy without anion corrections: 0.086 eV per atom

---

## MnPtCl2 (PBE-GGA)

Data for crystalline MnPtCl2 at its relaxed geometry.

a b c (Å): 3.5330 3.5329 7.0342
angles (deg): 90.00 90.00 90.00
Element x y z (fractional)
Cl  0.5000  0.5000  0.3493
Mn  0.0000  0.0000  0.5576
Pt  0.5000  0.5000  0.6871
Cl  0.0000  0.0000  0.9060

Values from the calculation:
* raw total energy: -4.92 eV/atom
* formation energy without anion corrections: -0.191 eV per atom

---

## Mn2PtCl (PBE-GGA)

Data for crystalline Mn2PtCl at its relaxed geometry.

a b c (Å): 7.0377 7.0377 7.0377
angles (deg): 155.37 149.09 39.91
Element x y z (fractional)
Pt  0.4530  0.4530  0.0000
Cl  0.1977  0.6977  0.5000
Mn  0.0314  0.0314  0.0000
Mn  0.8179  0.3179  0.5000

Values from the calculation:
* raw total energy: -6.63 eV/atom
* formation energy without anion corrections: -0.075 eV per atom

---

## MnPtCl2 (PBE-GGA)

Data for crystalline MnPtCl2 at its relaxed geometry.

a b c (Å): 4.4093 5.0975 4.4073
angles (deg): 64.19 90.42 115.83
Element x y z (fractional)
Mn  0.0000  0.5000  0.5000
Cl  0.5000  0.0000  0.5000
Pt  0.5000  0.5000  0.0000
Cl  0.0000  0.0000  0.0000

Values from the calculation:
* raw total energy: -4.72 eV/atom
* formation energy without anion corrections: 0.004 eV per atom

---

## Mn2PtCl8 (PBE-GGA)

Data for crystalline Mn2PtCl8 at its relaxed geometry.

a b c (Å): 6.9488 7.3272 7.3272
angles (deg): 120.00 90.00 90.00
Element x y z (fractional)
Cl  0.7121  0.7037  0.8518
Pt  0.5000  0.0000  0.0000
Cl  0.0644  0.3333  0.6667
Cl  0.9356  0.6667  0.3333
Cl  0.2879  0.8518  0.7037
Cl  0.7121  0.1482  0.2963
Cl  0.2879  0.8518  0.1482
Cl  0.2879  0.2963  0.1482
Cl  0.7121  0.1482  0.8518
Mn  0.7472  0.3333  0.6667
Mn  0.2528  0.6667  0.3333

Values from the calculation:
* raw total energy: -4.20 eV/atom
* formation energy without anion corrections: -0.637 eV per atom

---

formation energy without anion corrections of number 7 (MnPtCl2)?
0.004 eV per atom

---

Among the records above, which one has the highest formation energy without anion corrections?
Mn3PtCl